[1]
# LiTaIn2

A geometry-optimized LiTaIn2 structure (PBE, Alexandria via LeMat-Bulk).

Cell and atoms, written as extended XYZ:
```
4
Lattice="-1.551 2.469 5.199 1.551 -2.469 5.199 1.551 2.469 -5.199" Properties=species:S:1:pos:R:3 pbc="T T T"
Li 0.000 0.000 0.000
Ta 1.551 0.000 2.565
In 0.000 0.000 5.143
In 0.000 2.469 2.659
```

[2]
# Li2TaIn2

A geometry-optimized Li2TaIn2 structure (PBE, Alexandria via LeMat-Bulk).

Cell and atoms, written as extended XYZ:
```
10
Lattice="7.744 0.000 0.000 0.000 7.744 0.000 0.000 0.000 2.916" Properties=species:S:1:pos:R:3 pbc="T T T"
Li 0.900 2.972 0.000
Li 2.972 6.844 0.000
Li 4.772 0.900 0.000
Li 6.844 4.772 0.000
Ta 0.000 0.000 0.000
Ta 3.872 3.872 0.000
In 1.404 5.276 1.458
In 2.468 1.404 1.458
In 5.276 6.340 1.458
In 6.340 2.468 1.458
```

[3]
# LiTaIn2

A geometry-optimized LiTaIn2 structure (PBE, Alexandria via LeMat-Bulk).

Cell and atoms, written as extended XYZ:
```
4
Lattice="5.465 -1.510 0.000 5.465 1.510 0.000 -1.633 0.000 4.874" Properties=species:S:1:pos:R:3 pbc="T T T"
Li 0.000 0.000 0.000
Ta 7.569 0.000 2.007
In 1.224 0.000 4.426
In 4.654 0.000 2.328
```

Computed values of relative energy among the computed polymorphs (unit: eV/atom) for the preceding records, in sequence: 0.170 0.000 0.086.
Computed values of volume (unit: Å³/cell) for the preceding records, in sequence: 79.63 174.86 80.46.
Computed values of density of states at the Fermi level (unit: states/eV/f.u.) for the preceding records, in sequence: 2.8 2.9 2.3.